Compound: PH6Cl3
Source: Alexandria
Functional: GGA-PBE
Structure: optimized geometry

Unit cell a=16.8470 b=4.7511 c=4.8966 alpha=90.00 beta=98.54 gamma=90.00
Last column: nearest neighbours and their distance in Å.
Space group C2/m (No. 12)
Inequivalent atoms, fractional coordinates:
P1 0.0000 0.0000 0.0000 (multiplicity 2)  4 H 1.52
H1 0.0033 0.2250 0.2216 (multiplicity 8)  1 P 1.52
H2 0.1511 0.0000 0.8877 (multiplicity 4)  1 Cl 1.30
Cl1 0.0000 0.5000 0.5000 (multiplicity 2)  4 H 1.90
Cl2 0.1961 0.0000 0.6944 (multiplicity 4)  1 H 1.30

## Properties
- calculated total energy (eV per atom) = -3.075
- total magnetization (μB per formula unit) = 0.45